No. 1
{
  "formula": "Na4GaHg15",
  "functional": "GGA-PBE",
  "state": "relaxed",
  "lattice_angstrom": [[-1.037, 3.244, -3.366], [2.925, -2.239, -3.060], [-17.222, -12.839, -7.068]],
  "species": ["Hg", "Hg", "Hg", "Hg", "Hg", "Hg", "Hg", "Hg", "Hg", "Hg", "Hg", "Hg", "Hg", "Hg", "Hg", "Na", "Na", "Na", "Na", "Ga"],
  "fractional_positions": [[0.000, 0.500, 0.295], [0.500, 0.500, 0.000], [0.500, 0.000, 0.906], [0.500, 0.500, 0.603], [0.500, 0.000, 0.094], [0.500, 0.500, 0.194], [0.500, 0.000, 0.705], [0.000, 0.500, 0.500], [0.000, 0.500, 0.906], [0.500, 0.000, 0.295], [0.500, 0.500, 0.397], [0.500, 0.500, 0.806], [0.000, 0.500, 0.705], [0.000, 0.500, 0.094], [0.500, 0.000, 0.500], [0.000, 0.000, 0.193], [0.000, 0.000, 0.807], [0.000, 0.000, 0.603], [0.000, 0.000, 0.397], [0.000, 0.000, 0.000]],
  "spacegroup": "P4/mmm, No. 123",
  "final_energy_ev_per_cell": -15.49,
  "n_ef_per_ev_fu": 10.14,
  "formation_energy_ev_per_atom": -0.1331
}

=====

No. 2
{
  "formula": "Tm2BiO5",
  "functional": "GGA-PBE",
  "state": "relaxed",
  "lattice_angstrom": [[-6.179, -0.570, -1.641], [1.975, -4.441, -5.890], [-0.416, -7.676, 5.648]],
  "species": ["Tm", "Tm", "Tm", "Tm", "Tm", "Tm", "Tm", "Tm", "O", "O", "O", "O", "O", "O", "O", "O", "O", "O", "O", "O", "O", "O", "O", "O", "O", "O", "O", "O", "Bi", "Bi", "Bi", "Bi"],
  "fractional_positions": [[0.916, 0.649, 0.316], [0.584, 0.149, 0.684], [0.764, 0.378, 0.985], [0.416, 0.851, 0.316], [0.736, 0.878, 0.015], [0.084, 0.351, 0.684], [0.264, 0.122, 0.985], [0.236, 0.622, 0.015], [0.894, 0.146, 0.566], [0.457, 0.362, 0.096], [0.606, 0.646, 0.434], [0.682, 0.868, 0.669], [0.818, 0.368, 0.331], [0.247, 0.601, 0.257], [0.957, 0.138, 0.096], [0.182, 0.632, 0.669], [0.110, 0.378, 0.907], [0.747, 0.899, 0.257], [0.543, 0.638, 0.904], [0.043, 0.862, 0.904], [0.753, 0.399, 0.743], [0.890, 0.622, 0.093], [0.253, 0.101, 0.743], [0.318, 0.132, 0.331], [0.106, 0.854, 0.434], [0.610, 0.122, 0.907], [0.390, 0.878, 0.093], [0.394, 0.354, 0.566], [0.968, 0.110, 0.327], [0.032, 0.890, 0.673], [0.532, 0.610, 0.673], [0.468, 0.390, 0.327]],
  "spacegroup": "P2_1/c, No. 14",
  "final_energy_ev_per_cell": -233.24,
  "n_ef_per_ev_fu": 2.64
}

=====

No. 3
{
  "formula": "Na3ZrBe",
  "functional": "GGA-PBE",
  "state": "relaxed",
  "lattice_angstrom": [[6.138, 0.000, 0.000], [0.000, 6.138, 0.000], [0.000, 0.000, 6.138]],
  "species": ["Na", "Na", "Na", "Zr", "Be"],
  "fractional_positions": [[0.500, 0.000, 0.000], [0.000, 0.000, 0.500], [0.000, 0.500, 0.000], [0.000, 0.000, 0.000], [0.500, 0.500, 0.500]],
  "spacegroup": "Pm-3m, No. 221",
  "de_polymorph_ev_per_fu": 2.65,
  "final_energy_ev_per_cell": -7.57,
  "n_ef_per_ev_fu": 9.49,
  "formation_energy_ev_per_atom": 1.7313
}

=====

No. 4
{
  "formula": "TlTe2Pb",
  "functional": "GGA-PBE",
  "state": "relaxed",
  "lattice_angstrom": [[6.721, 0.027, 0.000], [3.420, 5.786, 0.000], [-5.071, -2.907, 3.319]],
  "species": ["Te", "Te", "Pb", "Tl"],
  "fractional_positions": [[0.000, 0.000, 0.000], [0.250, 0.750, 0.500], [0.750, 0.250, 0.500], [0.500, 0.500, 0.000]],
  "spacegroup": "I-4m2, No. 119",
  "final_energy_ev_per_cell": -12.73,
  "n_ef_per_ev_fu": 3.14
}

=====

No. 5
{
  "formula": "UTaCo2",
  "functional": "GGA-PBE",
  "state": "relaxed",
  "lattice_angstrom": [[-2.621, 1.375, -0.638], [-1.507, -2.227, 1.392], [0.361, 3.380, 5.799]],
  "species": ["U", "Co", "Co", "Ta"],
  "fractional_positions": [[0.500, 0.500, 0.500], [0.000, 0.000, 0.782], [0.000, 0.000, 0.218], [0.500, 0.500, 0.000]],
  "spacegroup": "P4/mmm, No. 123",
  "de_polymorph_ev_per_fu": 0.00,
  "final_energy_ev_per_cell": -37.51,
  "n_ef_per_ev_fu": 6.98,
  "formation_energy_ev_per_atom": -0.0399
}

=====

No. 6
{
  "formula": "Ac3Al4Cd2",
  "functional": "GGA-PBE",
  "state": "relaxed",
  "lattice_angstrom": [[4.802, 0.000, 0.000], [-2.401, 5.915, -0.087], [0.000, -2.515, 9.001]],
  "species": ["Cd", "Cd", "Ac", "Ac", "Ac", "Al", "Al", "Al", "Al"],
  "fractional_positions": [[0.642, 0.283, 0.305], [0.358, 0.717, 0.695], [0.650, 0.300, 0.680], [0.350, 0.700, 0.320], [0.000, 0.000, 0.000], [0.923, 0.847, 0.586], [0.077, 0.153, 0.414], [0.723, 0.446, 0.053], [0.277, 0.554, 0.947]],
  "spacegroup": "C2/m, No. 12",
  "final_energy_ev_per_cell": -32.10,
  "n_ef_per_ev_fu": 6.99,
  "formation_energy_ev_per_atom": -0.3304
}